The following is a PBE-GGA calculation of crystalline MgAsOsO at its relaxed geometry, from OQMD.

Output
distance to the lowest polymorph of the same formula = 0.3157 eV per atom

Unit cell a=3.673 b=6.071 c=5.565 alpha=90.00 beta=90.00 gamma=90.00
Space group Pmc2_1 (No. 26)
Symmetry-distinct sites (fractional):
Mg (0.000, 0.152, 0.000) x2
As (0.000, 0.300, 0.482) x2
Os (0.500, 0.486, 0.711) x2
O (0.500, 0.236, 0.972) x2